1.
20
Lattice="7.402 0.000 0.000 0.000 7.364 2.110 0.000 0.050 12.852" Properties=species:S:1:pos:R:3 comment="TmHBr3 | Alexandria | GGA-PBE | relaxed" m_tot_mub_per_cell=0.00 energy_ev_per_cell=-80.67 sg=P2/c pbc="T T T"
Tm 5.551 0.667 11.946
Tm 1.850 4.324 6.575
Tm 5.551 3.090 8.387
Tm 1.850 6.747 3.016
H 1.776 1.584 9.932
H 1.776 2.173 10.400
H 5.625 5.241 4.561
H 5.625 5.830 5.029
Br 7.151 5.316 8.187
Br 0.250 1.608 0.706
Br 1.853 4.067 3.794
Br 3.446 6.172 13.719
Br 5.549 0.410 9.165
Br 0.250 2.099 6.775
Br 3.446 4.949 8.724
Br 1.853 7.004 5.796
Br 3.956 1.242 1.243
Br 5.549 3.347 11.167
Br 7.151 5.806 14.256
Br 3.956 2.465 6.238

2.
19
Lattice="-6.278 -3.370 -4.586 5.351 2.694 -5.992 3.949 -6.886 2.965" Properties=species:S:1:pos:R:3 comment="Tl6In12Pb | Alexandria | GGA-PBE | relaxed" m_tot_mub_per_cell=0.00 energy_ev_per_cell=-49.87 sg=R-3 pbc="T T T"
Tl 1.537 -3.045 -0.525
Tl 1.143 -6.979 -4.778
Tl 4.128 -5.407 -5.154
Tl 1.485 -4.516 -7.089
Tl 1.879 -0.582 -2.836
Tl -1.106 -2.154 -2.460
In -0.374 -5.534 -2.055
In 4.309 -3.081 -2.634
In 0.177 -1.673 -5.671
In 3.396 -2.027 -5.558
In -1.287 -4.481 -4.980
In 2.845 -5.888 -1.943
In 1.316 -5.978 1.007
In 6.293 -5.747 -2.665
In -1.961 -7.776 -3.926
In 1.706 -1.583 -8.620
In -3.271 -1.814 -4.949
In 4.984 0.215 -3.688
Pb 0.000 0.000 0.000

3.
18
Lattice="-3.276 0.271 1.609 -1.250 -6.901 -1.382 5.030 -3.065 10.756" Properties=species:S:1:pos:R:3 comment="HfNbSi | Alexandria | GGA-PBE | relaxed" m_tot_mub_per_cell=0.00 energy_ev_per_cell=-164.16 sg=Pmma pbc="T T T"
Hf 4.484 -4.542 9.894
Hf -0.704 -5.424 -0.519
Hf 2.470 -3.315 5.588
Hf 1.309 -6.651 3.786
Hf 1.060 -1.855 2.471
Hf 2.719 -8.111 6.903
Nb -1.617 -3.202 1.409
Nb 2.121 -6.493 9.574
Nb -0.229 -4.048 4.379
Nb 0.732 -5.647 6.604
Nb -1.390 -6.203 2.377
Nb 1.894 -3.492 8.606
Si -1.241 -0.562 1.729
Si 1.745 -9.133 9.254
Si 0.332 -1.521 5.093
Si 0.172 -8.174 5.890
Si 0.572 -4.550 1.931
Si 3.208 -5.416 7.443

4.
12
Lattice="6.591 0.000 0.000 -3.295 5.708 0.000 0.000 0.000 8.584" Properties=species:S:1:pos:R:3 comment="LaTmP2S8 | Alexandria | GGA-PBE | relaxed" m_tot_mub_per_cell=0.00 energy_ev_per_cell=-63.22 sg=P-3m1 pbc="T T T"
La 0.000 0.000 4.292
Tm 0.000 0.000 0.000
P 0.000 3.805 5.971
P 3.295 1.903 2.613
S 0.000 1.861 6.661
S -1.684 4.777 6.661
S 1.684 4.777 6.661
S 1.612 0.931 1.923
S 3.295 1.903 4.594
S 0.000 3.805 3.990
S 3.295 3.847 1.923
S 4.979 0.931 1.923

5.
18
Lattice="6.304 -1.016 1.116 0.749 6.341 1.116 3.237 2.444 9.497" Properties=species:S:1:pos:R:3 comment="LiGa5Pd3 | Alexandria | GGA-PBE | relaxed" m_tot_mub_per_cell=0.00 energy_ev_per_cell=-71.60 sg=C2/m pbc="T T T"
Li 2.462 1.859 7.153
Li 7.827 5.910 4.576
Ga 7.254 2.388 4.636
Ga 2.219 4.395 1.116
Ga 5.050 3.813 2.211
Ga 3.705 2.798 4.842
Ga 6.585 4.972 6.887
Ga 5.240 3.956 9.518
Ga 4.283 6.323 4.636
Ga 4.834 0.931 1.116
Ga 3.036 5.381 7.093
Ga 6.007 1.447 7.093
Pd 7.326 5.532 9.347
Pd 5.717 4.317 4.598
Pd 0.000 0.000 0.000
Pd 1.618 1.222 4.749
Pd 2.964 2.238 2.383
Pd 4.573 3.453 7.131

6.
7
Lattice="-2.740 1.056 -1.662 -1.746 -1.409 1.983 0.551 11.590 6.461" Properties=species:S:1:pos:R:3 comment="ZnCd2Au4 | Alexandria | GGA-PBE | relaxed" m_tot_mub_per_cell=0.00 energy_ev_per_cell=-17.03 sg=Cmmm pbc="T T T"
Zn -0.873 -0.705 0.991
Cd -1.500 4.914 2.172
Cd -2.435 6.323 4.611
Au -1.408 1.800 0.040
Au -0.238 8.037 5.503
Au -2.528 9.438 6.743
Au -0.957 2.144 2.941